The following is a PBE-GGA calculation of a relaxed structure of Fe2ReW, from Alexandria via LeMat-Bulk.

Cell: 5.3650 5.3650 5.3650 Å, 103.30 103.30 122.69°
With the nearest neighbours (Å) after each atom.
Sites, in units of the cell vectors:
Fe 0.1206 0.6250 0.9956  2 Re 2.42, 2 W 2.46, 2 Fe 2.57
Fe 0.3750 0.3706 0.4956  2 Re 2.42, 2 W 2.46, 2 Fe 2.57
Fe 0.6294 0.1250 0.0044  2 Re 2.42, 2 W 2.46, 2 Fe 2.57
Fe 0.8750 0.8794 0.5044  2 Re 2.42, 2 W 2.46, 2 Fe 2.57
Re 0.0000 0.0000 0.0000  4 Fe 2.42, 2 W 2.57
Re 0.7500 0.2500 0.5000  4 Fe 2.42, 2 W 2.57
W 0.2500 0.7500 0.5000  4 Fe 2.46, 2 Re 2.57
W 0.5000 0.5000 0.0000  4 Fe 2.46, 2 Re 2.57

Summary:
**DFT formation energy**: 0.7745 eV/atom
**Calculated total energy**: -9.807 eV/atom
**Density**: 14028 kg/m³

The following is a PBE-GGA calculation of a relaxed structure of FeReW2, from Alexandria via LeMat-Bulk.

Cell: 2.6910 3.8960 5.6430 Å, 90.00 90.00 90.00°
With the nearest neighbours (Å) after each atom.
Sites, in units of the cell vectors:
Fe 0.0000 0.0000 0.0000  2 Fe 2.69, 4 Re 2.69, 6 W 2.71-2.89
Re 0.5000 0.5000 0.2280  5 W 2.61-2.78, 2 Re 2.69, 4 Fe 2.69
W 0.0000 0.0000 0.4876  6 W 2.69-2.84, 2 Fe 2.75-2.89, 4 Re 2.78
W 0.5000 0.5000 0.7652  1 Re 2.61, 6 W 2.69-2.84, 4 Fe 2.71

Summary:
**DFT formation energy**: 0.2742 eV/atom
**Calculated total energy**: -11.430 eV/atom
**Density**: 17114 kg/m³
**Distance to the lowest polymorph of the same formula**: 166 meV per atom

The following is a PBE-GGA calculation of a relaxed structure of FeRe2W, from Alexandria via LeMat-Bulk.

Cell: 9.0474 9.0474 9.0474 Å, 17.51 17.51 17.51°
With the nearest neighbours (Å) after each atom.
Sites, in units of the cell vectors:
Fe 0.0000 0.0000 0.0000  3 Re 2.65, 3 W 2.70, 6 Fe 2.75
Re 0.4959 0.4959 0.4959  9 Re 2.73-2.75, 3 W 2.86
Re 0.7460 0.7460 0.7460  3 Fe 2.65, 9 Re 2.73-2.75
W 0.2516 0.2516 0.2516  3 Fe 2.70, 6 W 2.75, 3 Re 2.86

Summary:
**DFT formation energy**: 0.2131 eV/atom
**Calculated total energy**: -11.365 eV/atom
**Density**: 17362 kg/m³

The following is a PBE-GGA calculation of a relaxed structure of Fe6ReW, from Alexandria via LeMat-Bulk.

Cell: 6.2512 6.2512 10.2444 Å, 90.00 90.00 109.94°
With the nearest neighbours (Å) after each atom.
Sites, in units of the cell vectors:
Fe 0.0000 0.0000 0.0000  8 Fe 2.54, 4 Re 2.58
Fe 0.0000 0.0000 0.5000  8 Fe 2.54, 2 Re 2.54, 2 W 2.58
Fe 0.1219 0.3738 0.1237  8 Fe 2.52-2.58, 3 Re 2.54-2.56, 1 W 2.58
Fe 0.1219 0.3738 0.8763  8 Fe 2.52-2.58, 3 Re 2.54-2.56, 1 W 2.58
Fe 0.1232 0.3717 0.3736  1 Re 2.52, 8 Fe 2.54-2.59, 3 W 2.54-2.56
Fe 0.1232 0.3717 0.6264  1 Re 2.52, 8 Fe 2.54-2.59, 3 W 2.54-2.56
Fe 0.2484 0.7516 0.2477  8 Fe 2.52-2.58, 2 Re 2.54, 2 W 2.58
Fe 0.2484 0.7516 0.7523  8 Fe 2.52-2.58, 2 Re 2.54, 2 W 2.58
Fe 0.3717 0.1232 0.3736  1 Re 2.52, 8 Fe 2.54-2.59, 3 W 2.54-2.56
Fe 0.3717 0.1232 0.6264  1 Re 2.52, 8 Fe 2.54-2.59, 3 W 2.54-2.56
Fe 0.3738 0.1219 0.1237  8 Fe 2.52-2.58, 3 Re 2.54-2.56, 1 W 2.58
Fe 0.3738 0.1219 0.8763  8 Fe 2.52-2.58, 3 Re 2.54-2.56, 1 W 2.58
Fe 0.5000 0.5000 0.0000  2 Re 2.54, 8 Fe 2.56, 2 W 2.58
Fe 0.5000 0.5000 0.5000  4 W 2.54, 8 Fe 2.56
Fe 0.6262 0.8781 0.1237  8 Fe 2.52-2.58, 3 Re 2.54-2.56, 1 W 2.58
Fe 0.6262 0.8781 0.8763  8 Fe 2.52-2.58, 3 Re 2.54-2.56, 1 W 2.58
Fe 0.6283 0.8768 0.3736  1 Re 2.52, 8 Fe 2.54-2.59, 3 W 2.54-2.56
Fe 0.6283 0.8768 0.6264  1 Re 2.52, 8 Fe 2.54-2.59, 3 W 2.54-2.56
Fe 0.7516 0.2484 0.2477  8 Fe 2.52-2.58, 2 Re 2.54, 2 W 2.58
Fe 0.7516 0.2484 0.7523  8 Fe 2.52-2.58, 2 Re 2.54, 2 W 2.58
Fe 0.8768 0.6283 0.3736  1 Re 2.52, 8 Fe 2.54-2.59, 3 W 2.54-2.56
Fe 0.8768 0.6283 0.6264  1 Re 2.52, 8 Fe 2.54-2.59, 3 W 2.54-2.56
Fe 0.8781 0.6262 0.1237  8 Fe 2.52-2.58, 3 Re 2.54-2.56, 1 W 2.58
Fe 0.8781 0.6262 0.8763  8 Fe 2.52-2.58, 3 Re 2.54-2.56, 1 W 2.58
Re 0.0000 0.0000 0.2519  12 Fe 2.52-2.58
Re 0.0000 0.0000 0.7481  12 Fe 2.52-2.58
Re 0.2519 0.7481 0.0000  12 Fe 2.54-2.58
Re 0.7481 0.2519 0.0000  12 Fe 2.54-2.58
W 0.2517 0.7483 0.5000  12 Fe 2.54-2.58
W 0.5000 0.5000 0.2519  12 Fe 2.54-2.58
W 0.5000 0.5000 0.7481  12 Fe 2.54-2.58
W 0.7483 0.2517 0.5000  12 Fe 2.54-2.58

Summary:
**DFT formation energy**: 0.0614 eV/atom
**Calculated total energy**: -9.461 eV/atom
**Density**: 12446 kg/m³